VASP calculation (PBE-GGA) on a relaxed structure of Cs2Zn3RhF12.

Symmetry   No. 166
Formation energy from raw total energies   -2.25 eV per atom

abc: 7.6941 7.6941 7.6941
angles: 57.59 57.59 57.59
With the nearest neighbours (Å) after each atom.
Positions (direct):
Cs  0.6120  0.6120  0.6120  6 F 3.12-3.38
Cs  0.3880  0.3880  0.3880  6 F 3.12-3.38
F  0.0723  0.6880  0.0723  1 Rh 1.96, 1 Zn 2.18
F  0.9277  0.9277  0.3120  1 Rh 1.96, 1 Zn 2.18
F  0.3120  0.9277  0.9277  1 Rh 1.96, 1 Zn 2.18
F  0.9277  0.3120  0.9277  1 Rh 1.96, 1 Zn 2.18
F  0.3199  0.9272  0.3199  2 Zn 2.00
F  0.0728  0.6801  0.6801  2 Zn 2.00
F  0.0723  0.0723  0.6880  1 Rh 1.96, 1 Zn 2.18
F  0.6880  0.0723  0.0723  1 Rh 1.96, 1 Zn 2.18
F  0.6801  0.6801  0.0728  2 Zn 2.00
F  0.6801  0.0728  0.6801  2 Zn 2.00
F  0.3199  0.3199  0.9272  2 Zn 2.00
F  0.9272  0.3199  0.3199  2 Zn 2.00
Zn  0.0000  0.0000  0.5000  6 F 2.00-2.18
Zn  0.5000  0.0000  0.0000  6 F 2.00-2.18
Zn  0.0000  0.5000  0.0000  6 F 2.00-2.18
Rh  0.0000  0.0000  0.0000  6 F 1.96

=====

VASP calculation (PBE-GGA) on a relaxed structure of Y3Si4.

Symmetry   No. 63
Formation energy from raw total energies   -0.73 eV per atom

abc: 3.9850 5.6315 13.7171
angles: 90.00 90.00 110.72
With the nearest neighbours (Å) after each atom.
Positions (direct):
Si  0.0013  0.0026  0.5004  4 Si 2.70
Si  0.6054  0.2108  0.6067  3 Si 2.46-2.70
Si  0.2575  0.5150  0.2503  2 Si 2.46
Si  0.3970  0.7940  0.3940  3 Si 2.46-2.70
Si  0.6053  0.2107  0.8940  3 Si 2.46-2.70
Si  0.3969  0.7937  0.1067  3 Si 2.46-2.70
Si  0.7448  0.4896  0.7503  2 Si 2.46
Si  0.0011  0.0022  0.0003  4 Si 2.70
Y  0.9791  0.9583  0.2503  7 Si 2.93-3.07
Y  0.6849  0.3699  0.4019  8 Si 2.93-3.09
Y  0.6848  0.3697  0.0988  8 Si 2.93-3.09
Y  0.3174  0.6347  0.9019  8 Si 2.93-3.09
Y  0.3175  0.6349  0.5988  8 Si 2.93-3.09
Y  0.0231  0.0463  0.7503  7 Si 2.93-3.07

=====

VASP calculation (PBE-GGA) on a relaxed structure of RuPt.

Calculated formation energy   0.081 eV per atom
Symmetry   No. 12

abc: 5.2482 2.7591 4.7812
angles: 90.00 63.44 105.24
With the nearest neighbours (Å) after each atom.
Positions (direct):
Pt  0.5075  0.7537  0.5843  5 Pt 2.74-2.80, 7 Ru 2.75-2.76
Pt  0.9925  0.9963  0.9990  5 Pt 2.74-2.80, 7 Ru 2.75-2.76
Ru  0.0117  0.5059  0.4898  5 Ru 2.66-2.87, 7 Pt 2.75-2.76
Ru  0.4883  0.2441  0.0935  5 Ru 2.66-2.87, 7 Pt 2.75-2.76

=====

VASP calculation (PBE-GGA) on a relaxed structure of FeRuRh.

E above lowest polymorph   0.006 eV/atom
Calculated formation energy   0.072 eV per atom
Symmetry   No. 156

abc: 2.6808 2.6808 6.4550
angles: 90.00 90.00 120.00
With the nearest neighbours (Å) after each atom.
Positions (direct):
Ru  0.3333  0.6667  0.6777  3 Fe 2.58, 6 Ru 2.68, 3 Rh 2.75
Fe  0.0000  0.0000  0.9968  3 Ru 2.58, 3 Rh 2.63, 6 Fe 2.68
Rh  0.6667  0.3333  0.3254  3 Fe 2.63, 6 Rh 2.68, 3 Ru 2.75

=====

VASP calculation (PBE-GGA) on a relaxed structure of CeIrAu.

E above lowest polymorph   0.196 eV/atom
Calculated formation energy   -0.458 eV per atom
Symmetry   No. 107

abc: 3.6309 3.6309 5.4116
angles: 109.60 109.60 90.00
With the nearest neighbours (Å) after each atom.
Positions (direct):
Ir  0.2977  0.2977  0.5954  4 Ce 2.87, 5 Au 3.07-3.08
Ce  0.9313  0.9313  0.8627  4 Ir 2.87, 5 Au 2.96-3.14
Au  0.6209  0.6209  0.2419  5 Ce 2.96-3.14, 5 Ir 3.07-3.08

=====

VASP calculation (PBE-GGA) on a relaxed structure of Cs4TlCd.

Calculated formation energy   0.008 eV per atom
Symmetry   No. 12

abc: 6.9583 11.2174 12.1362
angles: 117.53 106.78 90.00
With the nearest neighbours (Å) after each atom.
Positions (direct):
Cs  0.6476  0.3789  0.2930  3 Cd 4.43-4.46, 2 Tl 4.48, 5 Cs 4.60-4.62
Cs  0.6476  0.9141  0.2930  3 Cd 4.43-4.46, 2 Tl 4.48, 5 Cs 4.60-4.62
Cs  0.3524  0.6211  0.7070  3 Cd 4.43-4.46, 2 Tl 4.48, 5 Cs 4.60-4.62
Cs  0.0000  0.8082  0.0000  2 Tl 4.00, 1 Cs 4.30
Cs  0.1691  0.6671  0.3341  2 Tl 3.95
Cs  0.8309  0.3329  0.6659  2 Tl 3.95
Cs  0.0000  0.1918  0.0000  2 Tl 4.00, 1 Cs 4.30
Cs  0.3524  0.0859  0.7070  3 Cd 4.43-4.46, 2 Tl 4.48, 5 Cs 4.60-4.62
Tl  0.7110  0.5002  0.0004  1 Tl 2.93
Tl  0.2890  0.4998  0.9996  1 Tl 2.93
Cd  0.8073  0.8067  0.6134  10 Cs 4.43-4.51
Cd  0.1927  0.1933  0.3866  10 Cs 4.43-4.51

=====

VASP calculation (PBE-GGA) on a relaxed structure of SmTl2RhO6.

Symmetry   No. 146
Formation energy from raw total energies   -1.33 eV per atom

abc: 5.7465 5.7465 5.9893
angles: 61.33 61.33 60.00
With the nearest neighbours (Å) after each atom.
Positions (direct):
Tl  0.0295  0.0295  0.9114  6 O 2.27-2.51
Tl  0.5480  0.5480  0.3561  3 O 2.29
O  0.4262  0.6691  0.7902  1 Rh 2.02
O  0.1986  0.9748  0.2568  1 Rh 2.05, 1 Tl 2.29
O  0.6691  0.1144  0.7902  1 Rh 2.02
O  0.9748  0.5698  0.2568  1 Rh 2.05, 1 Tl 2.29
O  0.5698  0.1986  0.2568  1 Rh 2.05, 1 Tl 2.29
O  0.1144  0.4262  0.7902  1 Rh 2.02
Rh  0.3210  0.3210  0.0369  6 O 2.02-2.05
Sm  0.8101  0.8101  0.5696  6 O 2.29-2.41

=====

VASP calculation (PBE-GGA) on a relaxed structure of TaV.

E above lowest polymorph   0.798 eV/atom
Calculated formation energy   0.825 eV per atom
Symmetry   No. 136

abc: 5.1181 5.1181 5.2954
angles: 90.00 90.00 90.00
With the nearest neighbours (Å) after each atom.
Positions (direct):
Ta  0.7017  0.2983  0.5000  6 V 2.58-2.65
Ta  0.2983  0.7017  0.5000  6 V 2.58-2.65
Ta  0.7983  0.7983  0.0000  6 V 2.58-2.65
Ta  0.2017  0.2017  0.0000  6 V 2.58-2.65
V  0.8039  0.8039  0.5000  6 Ta 2.58-2.65, 1 V 2.84
V  0.1961  0.1961  0.5000  6 Ta 2.58-2.65, 1 V 2.84
V  0.3039  0.6961  0.0000  6 Ta 2.58-2.65, 1 V 2.84
V  0.6961  0.3039  0.0000  6 Ta 2.58-2.65, 1 V 2.84

=====

Number 1: spin magnetization 0.92 μB/f.u., final energy -4.215 eV per atom. Number 2: spin magnetization 0.00 μB/f.u., final energy -6.599 eV per atom. Number 3: spin magnetization 0.00 μB/f.u., final energy -7.577 eV per atom. Number 4: spin magnetization 2.23 μB/f.u., final energy -8.292 eV per atom. Number 5: spin magnetization 0.00 μB/f.u., final energy -6.482 eV per atom. Number 6: spin magnetization 0.00 μB/f.u., final energy -1.108 eV per atom. Number 7: spin magnetization 0.00 μB/f.u., final energy -5.986 eV per atom. Number 8: spin magnetization 0.00 μB/f.u., final energy -9.660 eV per atom.